[1]
A relaxed Nb2TlIn2 crystal, computed with GGA-PBE.

Cell lengths 7.505, 7.505, 3.961 Å; angles 90.00, 90.00, 90.00 degrees
Sites, in units of the cell vectors:
Nb  0.124  0.376  0.000
Nb  0.376  0.876  0.000
Nb  0.624  0.124  0.000
Nb  0.876  0.624  0.000
Tl  0.000  0.000  0.000
Tl  0.500  0.500  0.000
In  0.171  0.671  0.500
In  0.329  0.171  0.500
In  0.671  0.829  0.500
In  0.829  0.329  0.500

polymorph energy (0 for the lowest one): 0.0 meV/atom
space group: P4/mbm, No. 127

=====

[2]
A relaxed Nb2TlIn crystal, computed with GGA-PBE.

Cell lengths 6.211, 6.211, 6.211 Å; angles 102.98, 102.98, 123.42 degrees
Sites, in units of the cell vectors:
Nb  0.124  0.625  0.999
Nb  0.375  0.374  0.499
Nb  0.626  0.125  0.001
Nb  0.875  0.876  0.501
Tl  0.250  0.750  0.500
Tl  0.500  0.500  0.000
In  0.000  0.000  0.000
In  0.750  0.250  0.500

polymorph energy (0 for the lowest one): 174.0 meV/atom
space group: I-42d, No. 122

=====

[3]
A relaxed NbTlIn2 crystal, computed with GGA-PBE.

Cell lengths 5.169, 5.169, 5.169 Å; angles 60.00, 60.00, 60.00 degrees
Sites, in units of the cell vectors:
Nb  0.000  0.000  0.000
Tl  0.500  0.500  0.500
In  0.250  0.250  0.250
In  0.750  0.750  0.750

polymorph energy (0 for the lowest one): 116.5 meV/atom
space group: Fm-3m, No. 225

=====

[4]
A relaxed NbTlIn2 crystal, computed with GGA-PBE.

Cell lengths 12.234, 12.234, 12.234 Å; angles 14.68, 14.68, 14.68 degrees
Sites, in units of the cell vectors:
Nb  0.000  0.000  0.000
Tl  0.500  0.500  0.500
In  0.080  0.080  0.080
In  0.920  0.920  0.920

polymorph energy (0 for the lowest one): 0.0 meV/atom
space group: R-3m, No. 166

=====

[5]
A relaxed Nb2TlIn crystal, computed with GGA-PBE.

Cell lengths 4.844, 4.844, 4.844 Å; angles 60.00, 60.00, 60.00 degrees
Sites, in units of the cell vectors:
Nb  0.250  0.250  0.250
Nb  0.750  0.750  0.750
Tl  0.000  0.000  0.000
In  0.500  0.500  0.500

polymorph energy (0 for the lowest one): 0.0 meV/atom
space group: Fm-3m, No. 225

=====

[6]
A relaxed NbTl2In crystal, computed with GGA-PBE.

Cell lengths 6.536, 6.536, 6.536 Å; angles 102.37, 102.37, 124.86 degrees
Sites, in units of the cell vectors:
Nb  0.000  0.000  0.000
Nb  0.750  0.250  0.500
Tl  0.108  0.625  0.983
Tl  0.375  0.358  0.483
Tl  0.642  0.125  0.017
Tl  0.875  0.892  0.517
In  0.250  0.750  0.500
In  0.500  0.500  0.000

polymorph energy (0 for the lowest one): 95.3 meV/atom
space group: I-42d, No. 122

=====

[7]
A relaxed NbTl2In crystal, computed with GGA-PBE.

Cell lengths 12.163, 12.163, 12.163 Å; angles 14.94, 14.94, 14.94 degrees
Sites, in units of the cell vectors:
Nb  0.000  0.000  0.000
Tl  0.081  0.081  0.081
Tl  0.919  0.919  0.919
In  0.500  0.500  0.500

polymorph energy (0 for the lowest one): 0.0 meV/atom
space group: R-3m, No. 166

=====

[8]
A relaxed NbTl2In crystal, computed with GGA-PBE.

Cell lengths 5.205, 5.205, 5.205 Å; angles 60.00, 60.00, 60.00 degrees
Sites, in units of the cell vectors:
Nb  0.000  0.000  0.000
Tl  0.250  0.250  0.250
Tl  0.750  0.750  0.750
In  0.500  0.500  0.500

polymorph energy (0 for the lowest one): 114.8 meV/atom
space group: Fm-3m, No. 225

=====

[9]
A relaxed TmNbIn2 crystal, computed with GGA-PBE.

Cell lengths 10.398, 10.398, 10.398 Å; angles 17.86, 17.86, 17.86 degrees
Sites, in units of the cell vectors:
Tm  0.000  0.000  0.000
Nb  0.500  0.500  0.500
In  0.245  0.245  0.245
In  0.755  0.755  0.755

space group: R-3m, No. 166

=====

[10]
A relaxed TmNbIn2 crystal, computed with GGA-PBE.

Cell lengths 4.465, 4.465, 4.451 Å; angles 90.00, 90.00, 90.00 degrees
Sites, in units of the cell vectors:
Tm  0.000  0.000  0.000
Nb  0.500  0.500  0.000
In  0.000  0.500  0.500
In  0.500  0.000  0.500

space group: P4/mmm, No. 123

=====

[11]
A relaxed UNb2In crystal, computed with GGA-PBE.

Cell lengths 4.683, 4.683, 3.629 Å; angles 90.00, 90.00, 90.00 degrees
Sites, in units of the cell vectors:
U  0.000  0.000  0.000
Nb  0.000  0.500  0.500
Nb  0.500  0.000  0.500
In  0.500  0.500  0.000

polymorph energy (0 for the lowest one): 0.0 meV/atom
space group: P4/mmm, No. 123

=====

[12]
A relaxed UNb2In crystal, computed with GGA-PBE.

Cell lengths 8.864, 8.864, 8.864 Å; angles 21.63, 21.63, 21.63 degrees
Sites, in units of the cell vectors:
U  0.000  0.000  0.000
Nb  0.257  0.257  0.257
Nb  0.743  0.743  0.743
In  0.500  0.500  0.500

polymorph energy (0 for the lowest one): 263.9 meV/atom
space group: R-3m, No. 166

=====

Total DFT energy (no corrections) across the listed records, respectively: -53.74; -45.50; -15.58; -16.04; -23.45; -30.03; -15.40; -14.94; -19.92; -20.34; -33.69; -32.63 eV for the cell shown.
E_form across the listed records, respectively: 1.111; 2.494; 2.334; 1.868; 1.798; 2.526; 2.145; 2.604; 0.102; -0.319; 0.479; 1.534 eV per formula unit.